[1]
Density functional theory data (PBE) for Na3Tl2CdHg3 after structural relaxation.

Unit cell a=8.8467 b=8.8467 c=3.5120 alpha=90.00 beta=90.00 gamma=120.00
Closest atoms and distances in Å follow each position.
Fractional positions:
Na 0.0000 0.7028 0.0000  2 Tl 3.12, 2 Cd 3.16, 4 Hg 3.37
Na 0.2972 0.2972 0.0000  2 Tl 3.12, 2 Cd 3.16, 4 Hg 3.37
Na 0.7028 0.0000 0.0000  2 Tl 3.12, 2 Cd 3.16, 4 Hg 3.37
Tl 0.3333 0.6667 0.0000  3 Na 3.12, 6 Hg 3.38
Tl 0.6667 0.3333 0.0000  3 Na 3.12, 6 Hg 3.38
Cd 0.0000 0.0000 0.5000  3 Hg 3.08, 6 Na 3.16
Hg 0.0000 0.3483 0.5000  1 Cd 3.08, 4 Na 3.37, 4 Tl 3.38
Hg 0.3483 0.0000 0.5000  1 Cd 3.08, 4 Na 3.37, 4 Tl 3.38
Hg 0.6517 0.6517 0.5000  1 Cd 3.08, 4 Na 3.37, 4 Tl 3.38

Calculated values
- Spin magnetization: 0.0 μB/f.u.
- E: -11.666 eV for the cell shown
- Crystal system: hexagonal

[2]
Density functional theory data (PBE) for NaTl5CdHg2 after structural relaxation.

Unit cell a=9.6652 b=9.6652 c=16.1174 alpha=90.00 beta=90.00 gamma=159.68
Closest atoms and distances in Å follow each position.
Fractional positions:
Na 0.1091 0.8909 0.5000  4 Hg 3.28-3.44, 4 Tl 3.34-3.38, 2 Na 3.41, 2 Cd 3.54
Na 0.8909 0.1091 0.0000  4 Hg 3.28-3.44, 4 Tl 3.34-3.38, 2 Na 3.41, 2 Cd 3.54
Tl 0.0079 0.9921 0.3303  1 Na 3.34, 6 Tl 3.35-3.45, 4 Hg 3.35-3.52
Tl 0.1204 0.8796 0.1625  1 Cd 3.15, 3 Tl 3.41-3.45, 4 Hg 3.45-3.48
Tl 0.1673 0.8327 0.8111  1 Hg 3.15, 2 Cd 3.28, 5 Tl 3.35-3.52
Tl 0.2867 0.7133 0.4941  1 Hg 3.15, 2 Cd 3.29, 1 Na 3.38, 4 Tl 3.41-3.52
Tl 0.4523 0.5477 0.1639  1 Cd 3.19, 1 Hg 3.25, 4 Tl 3.35-3.41, 2 Na 3.35
Tl 0.5477 0.4523 0.6639  1 Cd 3.19, 1 Hg 3.25, 4 Tl 3.35-3.41, 2 Na 3.35
Tl 0.7133 0.2867 0.9941  1 Hg 3.15, 2 Cd 3.29, 1 Na 3.38, 4 Tl 3.41-3.52
Tl 0.8327 0.1673 0.3111  1 Hg 3.15, 2 Cd 3.28, 5 Tl 3.35-3.52
Tl 0.8796 0.1204 0.6625  1 Cd 3.15, 3 Tl 3.41-3.45, 4 Hg 3.45-3.48
Tl 0.9921 0.0079 0.8303  1 Na 3.34, 6 Tl 3.35-3.45, 4 Hg 3.35-3.52
Cd 0.2852 0.7148 0.1465  6 Tl 3.15-3.29, 2 Cd 3.41
Cd 0.7148 0.2852 0.6465  6 Tl 3.15-3.29, 2 Cd 3.41
Hg 0.3306 0.6694 0.8413  5 Tl 3.15-3.52, 2 Na 3.28, 2 Hg 3.41
Hg 0.4520 0.5480 0.4969  6 Tl 3.15-3.45, 2 Hg 3.41, 2 Na 3.44
Hg 0.5480 0.4520 0.9969  6 Tl 3.15-3.45, 2 Hg 3.41, 2 Na 3.44
Hg 0.6694 0.3306 0.3413  5 Tl 3.15-3.52, 2 Na 3.28, 2 Hg 3.41

Calculated values
- Spin magnetization: 0.0 μB/f.u.
- E: -29.786 eV for the cell shown
- Crystal system: orthorhombic

[3]
Density functional theory data (PBE) for NaTl2Cd2Hg after structural relaxation.

Unit cell a=5.1679 b=9.3225 c=6.7161 alpha=90.00 beta=90.00 gamma=90.00
Closest atoms and distances in Å follow each position.
Fractional positions:
Na 0.0000 0.0011 0.0000  2 Na 3.36, 6 Cd 3.40-3.45, 4 Hg 3.42, 2 Tl 3.51-3.54
Na 0.0000 0.9989 0.5000  2 Na 3.36, 6 Cd 3.40-3.45, 4 Hg 3.42, 2 Tl 3.51-3.54
Tl 0.0000 0.3328 0.7517  5 Cd 3.07-3.36
Tl 0.0000 0.6672 0.2517  5 Cd 3.07-3.36
Tl 0.5000 0.4989 0.0025  6 Tl 3.36-3.46, 6 Cd 3.49-3.63, 2 Hg 3.57-3.61
Tl 0.5000 0.5011 0.5025  6 Tl 3.36-3.46, 6 Cd 3.49-3.63, 2 Hg 3.57-3.61
Cd 0.0000 0.3227 0.2524  2 Hg 3.00, 2 Tl 3.21-3.35
Cd 0.0000 0.6773 0.7524  2 Hg 3.00, 2 Tl 3.21-3.35
Cd 0.5000 0.1559 0.7474  1 Hg 2.94, 2 Tl 3.07
Cd 0.5000 0.8441 0.2474  1 Hg 2.94, 2 Tl 3.07
Hg 0.5000 0.1596 0.2505  3 Cd 2.94-3.00
Hg 0.5000 0.8404 0.7505  3 Cd 2.94-3.00

Calculated values
- Spin magnetization: 0.0 μB/f.u.
- E: -17.082 eV for the cell shown
- Crystal system: orthorhombic

[4]
Density functional theory data (PBE) for NaTlCd2Hg5 after structural relaxation.

Unit cell a=8.9793 b=8.9793 c=15.4310 alpha=90.00 beta=90.00 gamma=157.36
Closest atoms and distances in Å follow each position.
Fractional positions:
Na 0.0390 0.9610 0.5000  5 Hg 3.10-3.39
Na 0.9610 0.0390 0.0000  5 Hg 3.10-3.39
Tl 0.2844 0.7156 0.0898  6 Hg 3.16-3.27, 2 Tl 3.53
Tl 0.7156 0.2844 0.5898  6 Hg 3.16-3.27, 2 Tl 3.53
Cd 0.3637 0.6363 0.4793  5 Hg 3.04-3.12
Cd 0.4119 0.5881 0.8070  8 Hg 3.11-3.31
Cd 0.5881 0.4119 0.3070  8 Hg 3.11-3.31
Cd 0.6363 0.3637 0.9793  5 Hg 3.04-3.12
Hg 0.0651 0.9349 0.8382  3 Hg 3.07-3.17, 4 Cd 3.07-3.26, 1 Na 3.10
Hg 0.1076 0.8924 0.1429  4 Cd 3.11-3.12, 1 Tl 3.22, 2 Hg 3.31, 1 Na 3.39
Hg 0.2017 0.7983 0.4118  3 Cd 3.04-3.12, 2 Hg 3.13, 1 Na 3.17, 2 Tl 3.27
Hg 0.2273 0.7727 0.7653  3 Hg 3.07-3.13, 2 Tl 3.24, 1 Cd 3.31
Hg 0.4503 0.5497 0.1686  2 Na 3.15, 1 Tl 3.16, 6 Hg 3.17-3.53, 1 Cd 3.23
Hg 0.5497 0.4503 0.6686  2 Na 3.15, 1 Tl 3.16, 6 Hg 3.17-3.53, 1 Cd 3.23
Hg 0.7727 0.2273 0.2653  3 Hg 3.07-3.13, 2 Tl 3.24, 1 Cd 3.31
Hg 0.7983 0.2017 0.9118  3 Cd 3.04-3.12, 2 Hg 3.13, 1 Na 3.17, 2 Tl 3.27
Hg 0.8924 0.1076 0.6429  4 Cd 3.11-3.12, 1 Tl 3.22, 2 Hg 3.31, 1 Na 3.39
Hg 0.9349 0.0651 0.3382  3 Hg 3.07-3.17, 4 Cd 3.07-3.26, 1 Na 3.10

Calculated values
- Spin magnetization: 0.0 μB/f.u.
- E: -14.878 eV for the cell shown
- Crystal system: orthorhombic

[5]
Density functional theory data (PBE) for NaTmCd2Hg4 after structural relaxation.

Unit cell a=8.8474 b=8.8474 c=8.8474 alpha=33.28 beta=33.28 gamma=33.28
Closest atoms and distances in Å follow each position.
Fractional positions:
Na 0.0000 0.0000 0.0000  8 Hg 3.10-3.14
Tm 0.5000 0.5000 0.5000  8 Hg 3.10-3.14
Cd 0.2509 0.2509 0.2509  8 Hg 3.10-3.15
Cd 0.7491 0.7491 0.7491  8 Hg 3.10-3.15
Hg 0.1253 0.1253 0.1253  3 Tm 3.10, 4 Cd 3.12-3.15, 1 Na 3.14
Hg 0.3746 0.3746 0.3746  4 Cd 3.10, 3 Na 3.10, 1 Tm 3.14
Hg 0.6254 0.6254 0.6254  4 Cd 3.10, 3 Na 3.10, 1 Tm 3.14
Hg 0.8747 0.8747 0.8747  3 Tm 3.10, 4 Cd 3.12-3.15, 1 Na 3.14

Calculated values
- Spin magnetization: 0.0 μB/f.u.
- E: -10.707 eV for the cell shown
- Crystal system: trigonal

[6]
Density functional theory data (PBE) for Na2YCdHg after structural relaxation.

Unit cell a=5.4822 b=5.4822 c=5.8721 alpha=90.00 beta=90.00 gamma=90.00
Closest atoms and distances in Å follow each position.
Fractional positions:
Na 0.0000 0.5000 0.0000  2 Cd 2.74
Na 0.5000 0.0000 0.0000  2 Cd 2.74
Y 0.0000 0.0000 0.5000  2 Cd 2.94
Cd 0.0000 0.0000 0.0000  4 Na 2.74, 2 Y 2.94
Hg 0.5000 0.5000 0.5000  4 Y 3.88, 8 Na 4.02

Calculated values
- Spin magnetization: 0.0 μB/f.u.
- E: -8.952 eV for the cell shown
- Crystal system: tetragonal

[7]
Density functional theory data (PBE) for NaYCd2Hg4 after structural relaxation.

Unit cell a=8.9181 b=8.9181 c=8.9181 alpha=33.06 beta=33.06 gamma=33.06
Closest atoms and distances in Å follow each position.
Fractional positions:
Na 0.0000 0.0000 0.0000  8 Hg 3.10-3.11
Y 0.5000 0.5000 0.5000  8 Hg 3.13-3.20
Cd 0.2499 0.2499 0.2499  8 Hg 3.10-3.21
Cd 0.7501 0.7501 0.7501  8 Hg 3.10-3.21
Hg 0.1229 0.1229 0.1229  4 Cd 3.10-3.21, 1 Na 3.11, 3 Y 3.13
Hg 0.3733 0.3733 0.3733  3 Na 3.10, 4 Cd 3.12-3.13, 1 Y 3.20
Hg 0.6267 0.6267 0.6267  3 Na 3.10, 4 Cd 3.12-3.13, 1 Y 3.20
Hg 0.8771 0.8771 0.8771  4 Cd 3.10-3.21, 1 Na 3.11, 3 Y 3.13

Calculated values
- Spin magnetization: 0.0 μB/f.u.
- E: -12.860 eV for the cell shown
- Crystal system: trigonal

[8]
Density functional theory data (PBE) for NaZnCd2Hg after structural relaxation.

Unit cell a=5.1087 b=5.1087 c=5.3818 alpha=90.00 beta=90.00 gamma=90.00
Closest atoms and distances in Å follow each position.
Fractional positions:
Na 0.0000 0.0000 0.0000  4 Hg 3.61, 8 Cd 3.71
Zn 0.5000 0.5000 0.5000  4 Cd 2.55, 2 Hg 2.69
Cd 0.0000 0.5000 0.5000  2 Zn 2.55
Cd 0.5000 0.0000 0.5000  2 Zn 2.55
Hg 0.5000 0.5000 0.0000  2 Zn 2.69

Calculated values
- Spin magnetization: 0.0 μB/f.u.
- E: -4.326 eV for the cell shown
- Crystal system: tetragonal